# Fe5C2

A geometry-optimized Fe5C2 structure (GGA-PBE, the Alexandria database).

Structure (extended XYZ):
```
14
Lattice="-5.984 -1.439 -0.862 -3.390 -3.239 -4.080 0.047 -4.350 2.470" Properties=species:S:1:pos:R:3 pbc="T T T"
C -6.213 -4.363 -1.393
Fe -0.696 -0.971 -0.548
Fe -2.851 -4.715 0.857
Fe -4.834 -5.475 -0.391
Fe -4.492 -3.553 -2.080
Fe -6.476 -4.313 -3.328
C -5.222 -7.208 -1.357
Fe -6.878 -6.193 -1.564
Fe -1.108 -2.844 1.227
C -3.114 -4.666 -1.078
Fe -8.630 -8.057 -1.923
Fe -8.218 -6.184 -3.698
C -4.104 -1.820 -1.114
Fe -2.448 -2.835 -0.907
```

Formation energy (eV per atom): 0.05
Space group: C2/c, No. 15

***

# EuTmRu

A geometry-optimized EuTmRu structure (GGA-PBE, the Alexandria database).

Structure (extended XYZ):
```
3
Lattice="-2.621 1.900 -1.183 -2.189 -2.555 0.747 1.539 2.784 6.085" Properties=species:S:1:pos:R:3 pbc="T T T"
Ru -2.714 0.547 1.872
Eu -0.055 0.155 0.371
Tm -0.503 1.426 3.406
```

Formation energy (eV per atom): -0.16
Space group: I4mm, No. 107

***

# LaEuHgSb

A geometry-optimized LaEuHgSb structure (GGA-PBE, the Alexandria database).

Structure (extended XYZ):
```
4
Lattice="-1.875 -4.838 1.924 3.551 -3.753 1.981 0.156 -1.067 5.427" Properties=species:S:1:pos:R:3 pbc="T T T"
La 1.373 -7.243 6.999
Sb 0.000 0.000 0.000
Hg 0.916 -4.829 4.666
Eu 0.458 -2.414 2.333
```

Energy relative to the elements, uncorrected (eV/atom): -0.746
Space group: F-43m, No. 216

***

# Cs4Tl3AgCl8

A geometry-optimized Cs4Tl3AgCl8 structure (GGA-PBE, the Alexandria database).

Structure (extended XYZ):
```
16
Lattice="9.349 0.000 0.000 0.000 9.376 -0.107 -4.675 -4.756 6.863" Properties=species:S:1:pos:R:3 pbc="T T T"
Tl 4.675 4.688 -0.053
Ag 0.000 4.688 -0.053
Cl 4.675 4.523 3.262
Cs 0.000 0.000 0.000
Cl 2.601 1.888 6.706
Cs 2.337 -2.378 3.431
Cl 4.675 0.101 3.350
Cl 7.275 2.732 0.050
Cs -2.337 -2.378 3.431
Tl 2.337 2.310 3.378
Cl 2.074 2.732 0.050
Cs 4.675 0.000 0.000
Cl 0.000 4.519 3.407
Tl -2.337 2.310 3.378
Cl 0.000 0.097 3.494
Cl -2.601 1.888 6.706
```

Energy relative to the elements, uncorrected (eV/atom): -1.381
Space group: C2/m, No. 12

***

# Mg8ZnCd2

A geometry-optimized Mg8ZnCd2 structure (GGA-PBE, the Alexandria database).

Structure (extended XYZ):
```
11
Lattice="-0.631 1.260 4.769 5.851 -2.512 1.438 0.536 7.185 -4.419" Properties=species:S:1:pos:R:3 pbc="T T T"
Mg 1.136 2.352 -0.471
Mg 4.889 0.617 3.076
Mg 1.387 7.804 0.715
Cd 4.068 1.126 0.241
Mg 2.108 1.794 2.398
Mg 4.621 3.581 2.258
Mg 4.370 -1.871 1.072
Mg 3.649 4.139 -0.610
Zn -0.315 0.630 2.385
Mg 0.868 5.316 -1.289
Cd 1.689 4.807 1.546
```

Formation energy (eV per atom): -0.05
Space group: C2/m, No. 12

***

# NiIrPt6

A geometry-optimized NiIrPt6 structure (GGA-PBE, the Alexandria database).

Structure (extended XYZ):
```
8
Lattice="-3.767 0.605 -0.806 -0.842 -3.603 1.232 -3.429 1.271 7.546" Properties=species:S:1:pos:R:3 pbc="T T T"
Pt -2.992 -2.644 2.566
Pt -3.584 -1.187 6.424
Ni -2.305 -1.499 0.213
Ir 0.000 0.000 0.000
Pt -2.871 -0.104 3.907
Pt -4.455 -0.540 1.547
Pt -5.046 0.917 5.405
Pt -5.167 -1.623 4.065
```

Formation energy (eV per atom): -0.01
Space group: I4/mmm, No. 139

***

# RbTlIn2I4

A geometry-optimized RbTlIn2I4 structure (GGA-PBE, the Alexandria database).

Structure (extended XYZ):
```
8
Lattice="-2.082 2.355 3.974 -7.941 -2.629 -2.602 -1.847 -7.762 3.633" Properties=species:S:1:pos:R:3 pbc="T T T"
Tl -6.859 -7.899 4.319
Rb -4.894 -5.196 0.516
I -7.525 -2.707 0.892
In -1.965 -2.703 3.803
I -4.344 -5.329 4.113
In -1.847 -7.762 3.633
I -7.393 -7.824 0.764
I -4.477 -0.212 4.240
```

Energy relative to the elements, uncorrected (eV/atom): -0.761
Space group: P2/m, No. 10

***

# AcPmSm4

A geometry-optimized AcPmSm4 structure (GGA-PBE, the Alexandria database).

Structure (extended XYZ):
```
6
Lattice="6.769 0.000 0.000 3.384 5.862 0.000 3.384 1.954 5.527" Properties=species:S:1:pos:R:3 pbc="T T T"
Ac 3.384 1.954 1.382
Sm 6.769 3.908 0.673
Sm 6.769 1.937 3.460
Pm 0.000 0.000 0.000
Sm 8.475 4.893 3.460
Sm 5.062 4.893 3.460
```

Formation energy (eV per atom): 0.24
Space group: F-43m, No. 216